No. 1
A plane-wave DFT calculation with GGA-PBE was carried out for crystalline SrHg2Pd2 at its relaxed geometry.

Cell lengths 7.722, 7.722, 3.668 Å; angles 90.00, 90.00, 90.00 degrees
Atoms (fractional coordinates):
Sr 0.000 0.000 0.000
Sr 0.500 0.500 0.000
Hg 0.160 0.340 0.500
Hg 0.340 0.840 0.500
Hg 0.660 0.160 0.500
Hg 0.840 0.660 0.500
Pd 0.132 0.632 0.000
Pd 0.368 0.132 0.000
Pd 0.632 0.868 0.000
Pd 0.868 0.368 0.000

Spin magnetization = 0.00 μB/f.u.
Symmetry = P4/mbm (127)
Excess energy over the best structure of this formula in the dataset = 56 meV per atom
DFT formation energy = -0.369 eV per atom
Total DFT energy (no corrections) = -2.9034 eV per atom

=====

No. 2
A plane-wave DFT calculation with GGA-PBE was carried out for crystalline Sr4HgPd2 at its relaxed geometry.

Cell lengths 7.861, 7.861, 8.419 Å; angles 105.21, 105.21, 74.68 degrees
Atoms (fractional coordinates):
Sr 0.000 0.000 0.000
Sr 0.004 0.004 0.519
Sr 0.004 0.540 0.146
Sr 0.023 0.552 0.654
Sr 0.511 0.511 0.008
Sr 0.518 0.518 0.522
Sr 0.540 0.004 0.146
Sr 0.552 0.023 0.654
Hg 0.223 0.223 0.370
Hg 0.223 0.223 0.871
Pd 0.320 0.822 0.796
Pd 0.720 0.720 0.869
Pd 0.729 0.729 0.375
Pd 0.822 0.320 0.796

Spin magnetization = 0.00 μB/f.u.
Symmetry = Cm (8)
Excess energy over the best structure of this formula in the dataset = 0 meV per atom
DFT formation energy = -0.518 eV per atom
Total DFT energy (no corrections) = -3.0061 eV per atom